(1)
HoThCdPb: relaxed, GGA-PBE.

Output
Magnetic moment: 0.000 μB per formula unit
ρ: 10.49 g/cm³
Total energy: -4.3777 eV per atom
Formation energy from the elements: -0.222 eV/atom
Volume: 28.4 Å³ per atom

abc: 7.685 7.685 7.685
angles: 90.00 90.00 90.00
Space group F-43m (No. 216)
One atom of each set of equivalent atoms:
1 Ho 0.000 0.000 0.000
2 Th 0.000 0.000 0.500
3 Cd 0.250 0.250 0.250
4 Pb 0.250 0.250 0.750

---

(2)
Y2HoMgN: relaxed, GGA-PBE.

Output
ΔE_f (raw): -0.720 eV per atom
Magnetic moment: 0.000 μB per formula unit
ρ: 5.47 g/cm³
Total energy: -6.2051 eV per atom
Volume: 23.1 Å³ per atom

abc: 4.894 4.894 4.829
angles: 90.00 90.00 90.00
Space group P4/mmm (No. 123)
One atom of each set of equivalent atoms:
1 Y 0.000 0.500 0.000
2 Ho 0.000 0.000 0.500
3 Mg 0.500 0.500 0.500
4 N 0.000 0.000 0.000